Entry 1:
Material: SrCdCoCl2
Method: DFT, PBE
State: optimized geometry

Computed properties:
E, eV per atom: -2.944
Raw formation energy, kJ/mol of atoms: -25.6

Cell: 5.478 5.478 6.782 Å, 90.00 90.00 90.00°
Element x y z (fractional)
Sr 0.000 0.000 0.000
Cd 0.500 0.500 0.500
Co 0.000 0.000 0.500
Cl 0.000 0.500 0.000
Cl 0.500 0.000 0.000

Entry 2:
Material: Tl2CdCoCl6
Method: DFT, PBE
State: optimized geometry

Computed properties:
E, eV per atom: -3.243
Raw formation energy, kJ/mol of atoms: -83.0

Cell: 12.966 12.966 12.966 Å, 31.96 31.96 31.96°
Element x y z (fractional)
Tl 0.133 0.133 0.133
Tl 0.301 0.301 0.301
Tl 0.699 0.699 0.699
Tl 0.867 0.867 0.867
Cd 0.414 0.414 0.414
Cd 0.586 0.586 0.586
Co 0.000 0.000 0.000
Co 0.500 0.500 0.500
Cl 0.140 0.622 0.622
Cl 0.200 0.200 0.715
Cl 0.200 0.715 0.200
Cl 0.285 0.800 0.800
Cl 0.378 0.378 0.860
Cl 0.378 0.860 0.378
Cl 0.622 0.140 0.622
Cl 0.622 0.622 0.140
Cl 0.715 0.200 0.200
Cl 0.800 0.285 0.800
Cl 0.800 0.800 0.285
Cl 0.860 0.378 0.378

Entry 3:
Material: TlCdCoCl6
Method: DFT, PBE
State: optimized geometry

Computed properties:
E, eV per atom: -3.212
Raw formation energy, kJ/mol of atoms: -79.7

Cell: 6.521 6.521 6.886 Å, 90.00 90.00 120.00°
Element x y z (fractional)
Tl 0.000 0.000 0.000
Cd 0.333 0.667 0.500
Co 0.667 0.333 0.500
Cl 0.391 0.045 0.694
Cl 0.391 0.347 0.306
Cl 0.653 0.045 0.306
Cl 0.653 0.609 0.694
Cl 0.955 0.347 0.694
Cl 0.955 0.609 0.306

Entry 4:
Material: CrCdCl2
Method: DFT, PBE
State: optimized geometry

Computed properties:
Energy above the most stable polymorph in this dataset, eV/atom: 0.6537
E, eV per atom: -3.453
Raw formation energy, kJ/mol of atoms: 10.2

Cell: 4.959 4.959 4.959 Å, 60.00 60.00 60.00°
Element x y z (fractional)
Cr 0.000 0.000 0.000
Cd 0.250 0.250 0.250
Cl 0.500 0.500 0.500
Cl 0.750 0.750 0.750

Entry 5:
Material: CrCdCl2
Method: DFT, PBE
State: optimized geometry

Computed properties:
Energy above the most stable polymorph in this dataset, eV/atom: 0.4065
E, eV per atom: -3.700
Raw formation energy, kJ/mol of atoms: -13.7

Cell: 3.740 4.048 6.217 Å, 90.00 90.00 90.00°
Element x y z (fractional)
Cr 0.000 0.000 0.000
Cd 0.500 0.000 0.500
Cl 0.000 0.500 0.500
Cl 0.500 0.500 0.000

Entry 6:
Material: Cr2CdCl
Method: DFT, PBE
State: optimized geometry

Computed properties:
Energy above the most stable polymorph in this dataset, eV/atom: 0.3212
E, eV per atom: -5.106
Raw formation energy, kJ/mol of atoms: 38.2

Cell: 3.185 3.185 8.375 Å, 90.00 90.00 112.57°
Element x y z (fractional)
Cr 0.000 0.000 0.235
Cr 0.000 0.000 0.765
Cd 0.500 0.500 0.500
Cl 0.500 0.500 0.000

Entry 7:
Material: CrCdCl2
Method: DFT, PBE
State: optimized geometry

Computed properties:
Energy above the most stable polymorph in this dataset, eV/atom: 0.2314
E, eV per atom: -3.875
Raw formation energy, kJ/mol of atoms: -30.6

Cell: 3.298 3.298 8.345 Å, 90.00 90.00 90.00°
Element x y z (fractional)
Cr 0.000 0.000 0.000
Cd 0.500 0.500 0.255
Cl 0.000 0.000 0.444
Cl 0.500 0.500 0.845

Entry 8:
Material: Cr2CdCl
Method: DFT, PBE
State: optimized geometry

Computed properties:
Energy above the most stable polymorph in this dataset, eV/atom: 0.1924
E, eV per atom: -5.235
Raw formation energy, kJ/mol of atoms: 25.8

Cell: 6.191 6.191 6.191 Å, 151.36 134.04 55.05°
Element x y z (fractional)
Cr 0.000 0.000 0.000
Cr 0.819 0.319 0.500
Cd 0.354 0.854 0.500
Cl 0.630 0.630 0.000